1.
Entry from Alexandria: KCeBr6 after structural relaxation (PBE-GGA).

abc: 6.4030 6.9394 7.5149
angles: 74.98 68.54 80.55
Last column: nearest neighbours and their distance in Å.
Space group P-1 (No. 2)
Unique sites:
1 K 0.0000 0.0000 0.0000  6 Br 3.53-3.73
2 Ce 0.5000 0.5000 0.5000  6 Br 2.76-2.90
3 Br 0.0709 0.6189 0.7287  1 Ce 2.78
4 Br 0.3213 0.1589 0.4663  1 Ce 2.90, 1 Br 2.99
5 Br 0.4398 0.7308 0.1604  1 Ce 2.76

## Properties
As for the formation energy without anion corrections: -1341 meV/atom. Its polymorph energy (0 for the lowest one) is 0.000 eV/atom.

2.
Entry from Alexandria: Li2La2DyIn2 after structural relaxation (PBE-GGA).

abc: 4.8784 4.8784 26.7055
angles: 90.00 90.00 120.00
Last column: nearest neighbours and their distance in Å.
Space group R-3m (No. 166, hexagonal axes)
Unique sites:
1 Li 0.0000 0.0000 0.1068  3 In 2.82
2 La 0.0000 0.0000 0.3657  3 La 3.31, 4 In 3.37-3.58, 3 Li 3.45, 1 Dy 3.59
3 Dy 0.0000 0.0000 0.5000  6 Li 3.24, 6 In 3.31, 2 La 3.59
4 In 0.0000 0.0000 0.2315  3 Li 2.82

## Properties
The value obtained for the formation enthalpy at 0 K is -1.917 eV/f.u.

3.
Entry from Alexandria: ErFe4Tc after structural relaxation (PBE-GGA).

abc: 6.9543 6.9543 6.9543
angles: 90.00 90.00 90.00
Last column: nearest neighbours and their distance in Å.
Space group F-43m (No. 216)
Unique sites:
1 Er 0.0000 0.0000 0.0000  12 Fe 2.89, 4 Tc 3.01
2 Fe 0.1237 0.1237 0.6237  6 Fe 2.43-2.48
3 Tc 0.2500 0.2500 0.2500  12 Fe 2.88, 4 Er 3.01

## Properties
The value obtained for the formation enthalpy at 0 K is 0.338 eV/f.u.

Energy across the listed records, respectively: -3.47 -3.67 -8.07 eV/atom.